Computed, not measured: crystalline Pd3PtAu at its relaxed geometry at the PBE level of DFT.

abc: 5.6706 6.8942 9.3435
angles: 119.31 90.00 90.00
Sites, in units of the cell vectors:
1 Pd 0.3744 0.9974 0.7515
2 Pd 0.8753 0.3987 0.3505
3 Pd 0.1256 0.9974 0.2515
4 Pd 0.6242 0.8060 0.4517
5 Pd 0.1247 0.6013 0.6495
6 Pd 0.3758 0.1940 0.5483
7 Pd 0.6247 0.3987 0.8505
8 Pd 0.8758 0.8060 0.9517
9 Pd 0.1242 0.1940 0.0483
10 Pd 0.6256 0.0026 0.2485
11 Pd 0.3753 0.6013 0.1495
12 Pd 0.8744 0.0026 0.7485
13 Pt 0.3764 0.8060 0.9543
14 Pt 0.8764 0.1940 0.5457
15 Pt 0.1236 0.8060 0.4543
16 Pt 0.6236 0.1940 0.0457
17 Au 0.1273 0.4025 0.8486
18 Au 0.8727 0.5975 0.1514
19 Au 0.3727 0.4025 0.3486
20 Au 0.6273 0.5975 0.6514

Computed properties:
The symmetry is No. 14. The value obtained for the energy relative to the lowest polymorph listed for this composition is 0.0000 eV per atom. The value obtained for the formation energy is -0.087 eV/f.u. The crystal system is monoclinic.

***

Computed, not measured: crystalline Ho3GaSe6 at its relaxed geometry at the PBE level of DFT.

abc: 6.7479 8.9140 8.9140
angles: 102.43 90.00 90.00
Sites, in units of the cell vectors:
1 Ho 0.9853 0.7183 0.9141
2 Ho 0.9853 0.0859 0.2817
3 Ho 0.4853 0.9141 0.7183
4 Ho 0.8853 0.5959 0.4041
5 Ho 0.4853 0.2817 0.0859
6 Ho 0.3853 0.4041 0.5959
7 Se 0.7052 0.8999 0.4370
8 Se 0.1836 0.6969 0.6291
9 Se 0.1836 0.3709 0.3031
10 Se 0.2052 0.1001 0.5630
11 Se 0.2052 0.4370 0.8999
12 Se 0.6694 0.9608 0.0392
13 Se 0.6836 0.6291 0.6969
14 Se 0.1621 0.7814 0.2186
15 Se 0.7052 0.5630 0.1001
16 Se 0.6621 0.2186 0.7814
17 Se 0.6836 0.3031 0.3709
18 Se 0.1694 0.0392 0.9608
19 Ga 0.0204 0.2024 0.7976
20 Ga 0.5204 0.7976 0.2024

Computed properties:
The symmetry is No. 36. The crystal system is orthorhombic.

***

Computed, not measured: crystalline LaIn4Ag2 at its relaxed geometry at the PBE level of DFT.

abc: 4.8416 7.4039 19.0084
angles: 90.00 90.00 90.00
Sites, in units of the cell vectors:
1 Ag 0.2500 0.9780 0.7808
2 Ag 0.2500 0.7599 0.5375
3 Ag 0.2500 0.7401 0.0375
4 Ag 0.7500 0.0220 0.2192
5 Ag 0.2500 0.5220 0.2808
6 Ag 0.7500 0.2401 0.4625
7 Ag 0.7500 0.2599 0.9625
8 Ag 0.7500 0.4780 0.7192
9 In 0.7500 0.7202 0.3108
10 In 0.2500 0.1604 0.5350
11 In 0.7500 0.5099 0.5710
12 In 0.7500 0.8396 0.4650
13 In 0.7500 0.7798 0.8108
14 In 0.2500 0.0099 0.9290
15 In 0.2500 0.6856 0.6842
16 In 0.7500 0.6604 0.9650
17 In 0.2500 0.2798 0.6892
18 In 0.7500 0.1856 0.8158
19 In 0.2500 0.8144 0.1842
20 In 0.2500 0.2202 0.1892
21 In 0.2500 0.3396 0.0350
22 In 0.7500 0.3144 0.3158
23 In 0.2500 0.4901 0.4290
24 In 0.7500 0.9901 0.0710
25 La 0.7500 0.5123 0.1395
26 La 0.7500 0.9877 0.6395
27 La 0.2500 0.0123 0.3605
28 La 0.2500 0.4877 0.8605

Computed properties:
The symmetry is No. 62. The value obtained for the formation energy is -1.997 eV/f.u. The crystal system is orthorhombic.

***

no.,density (g/cm3),total energy (eV/atom)
1,14.83,-4.997
2,6.59,-5.302
3,7.93,-3.369